{"formula": "Dy2Ni5Ge4", "functional": "PBE-GGA", "state": "optimized geometry", "magnetic_moment_mub_per_atom": 0.00, "sg": "No. 69", "delta_e_f_ev_per_fu": -6.0, "total_energy_ev_per_atom": -5.68, "lattice": [[0.0000, 4.6836, 7.0045], [2.6865, 0.0000, 7.0045], [2.6865, 4.6836, 0.0000]], "species": ["Dy", "Dy", "Ni", "Ni", "Ni", "Ni", "Ni", "Ge", "Ge", "Ge", "Ge"], "fractional_positions": [[0.1381, 0.1381, 0.8619], [0.8619, 0.8619, 0.1381], [0.0000, 0.0000, 0.5000], [0.2500, 0.2500, 0.2500], [0.5000, 0.5000, 0.0000], [0.5000, 0.5000, 0.5000], [0.7500, 0.7500, 0.7500], [0.2163, 0.5222, 0.4778], [0.4778, 0.7837, 0.2163], [0.5222, 0.2163, 0.7837], [0.7837, 0.4778, 0.5222]]}